Crystalline ZrMoCl2 at its relaxed geometry, computed with PBE.

Properties
Formation energy from raw total energies = -442 meV per atom
DOS(E_F) = 2.532 states/eV/cell
E_tot = -24.8 eV/cell
Polymorph energy (0 for the lowest one) = 30 meV/atom
Symmetry = C2/m, No. 12

Geometry as POSCAR:
```
ZrMoCl2
1.0
-2.309 2.218 6.489
-1.044 -0.676 7.128
3.981 1.984 1.104
Cl Mo Zr
2 1 1
Direct
0.610 0.610 0.465 Cl
0.890 0.890 0.035 Cl
0.750 0.750 0.750 Mo
0.250 0.250 0.250 Zr
```

---

Crystalline NaNCl3 at its relaxed geometry, computed with PBE.

Properties
Formation energy from raw total energies = 189 meV per atom
DOS(E_F) = 1.122 states/eV/cell
E_tot = -14.2 eV/cell
Polymorph energy (0 for the lowest one) = 278 meV/atom
Symmetry = Pm-3m, No. 221

Geometry as POSCAR:
```
NaNCl3
1.0
-0.437 -1.423 -4.269
-2.352 -3.584 1.436
-3.836 2.359 -0.394
Cl Na N
3 1 1
Direct
0.000 0.500 0.000 Cl
0.000 0.000 0.500 Cl
0.500 0.000 0.000 Cl
0.500 0.500 0.500 Na
0.000 0.000 0.000 N
```

---

Crystalline NaNCl2 at its relaxed geometry, computed with PBE.

Properties
Formation energy from raw total energies = 386 meV per atom
DOS(E_F) = 0.393 states/eV/cell
E_tot = -23.6 eV/cell
Polymorph energy (0 for the lowest one) = 206 meV/atom
Symmetry = I-42d, No. 122

Geometry as POSCAR:
```
NaNCl2
1.0
-3.505 3.960 -1.364
-3.770 -3.757 -1.222
-5.690 0.278 4.497
Cl N Na
4 2 2
Direct
0.875 0.746 0.750 Cl
0.496 0.125 0.250 Cl
0.375 0.504 0.750 Cl
0.254 0.625 0.250 Cl
0.500 0.500 0.000 N
0.250 0.750 0.500 N
0.000 0.000 0.000 Na
0.750 0.250 0.500 Na
```

---

Q: The highest E_tot belongs to which entry?
A: NaNCl3

---

Q: The highest polymorph energy (0 for the lowest one) belongs to which entry?
A: NaNCl3